A crystal of TaMn3F relaxed with PBEsol. Source: the Alexandria database, functional meta-GGA SCAN.

Cell: 4.0560 4.0560 4.0560 Å, 90.00 90.00 90.00°
With the nearest neighbours (Å) after each atom.
Fractional coordinates of all 5 atoms:
1 Ta 0.0000 0.0000 0.0000  12 Mn 2.87
2 Mn 0.0000 0.5000 0.5000  2 F 2.03
3 Mn 0.5000 0.0000 0.5000  2 F 2.03
4 Mn 0.5000 0.5000 0.0000  2 F 2.03
5 F 0.5000 0.5000 0.5000  6 Mn 2.03

E_tot in eV per atom: -25.12
Formation energy from raw total energies in eV per atom: -0.15
Total magnetization in μB/atom: 1.836